Entry from the Alexandria database: crystalline TcAgOs3 at its relaxed geometry (PBE).

a = 4.6718 Å, b = 4.6718 Å, c = 4.6718 Å
α = 90.00°, β = 90.00°, γ = 90.00°
Fractional positions:
Tc: 0.0000 0.0000 0.0000
Os: 0.0000 0.0000 0.5000
Os: 0.5000 0.0000 0.0000
Os: 0.0000 0.5000 0.0000
Ag: 0.5000 0.5000 0.5000

Values from the calculation:
Spin magnetization in μB per formula unit: 1.1
Volume in Å³/f.u.: 102.0
Raw total energy in eV/atom: -7.16
Energy relative to the elements in eV/atom: 2.218

---

Entry from the Alexandria database: crystalline La2NbSb2 at its relaxed geometry (PBE).

a = 7.6705 Å, b = 7.6705 Å, c = 4.7674 Å
α = 90.00°, β = 90.00°, γ = 90.00°
Fractional positions:
La: 0.1707 0.6707 0.5000
La: 0.3293 0.1707 0.5000
La: 0.8293 0.3293 0.5000
La: 0.6707 0.8293 0.5000
Sb: 0.1426 0.3574 0.0000
Sb: 0.8574 0.6426 0.0000
Sb: 0.3574 0.8574 0.0000
Sb: 0.6426 0.1426 0.0000
Nb: 0.5000 0.5000 0.0000
Nb: 0.0000 0.0000 0.0000

Values from the calculation:
Spin magnetization in μB per formula unit: 0.9
ΔE_f (raw) in eV per atom: -0.614
Volume in Å³/f.u.: 140.2
Raw total energy in eV/atom: -6.25

---

Entry from the Alexandria database: crystalline CoBrCl at its relaxed geometry (PBE).

a = 7.2251 Å, b = 7.2251 Å, c = 7.2251 Å
α = 154.47°, β = 154.47°, γ = 36.41°
Fractional positions:
Cl: 0.2762 0.2762 0.0000
Co: 0.6711 0.6711 0.0000
Br: 0.0527 0.0527 0.0000

Values from the calculation:
Spin magnetization in μB per formula unit: 3.0
ΔE_f (raw) in eV per atom: 0.017
Excess energy over the best structure of this formula in the dataset in eV per atom: 0.434
Volume in Å³/f.u.: 70.0
Raw total energy in eV/atom: -3.52

---

Entry from the Alexandria database: crystalline TlGeB2Cl8 at its relaxed geometry (PBE).

a = 6.1765 Å, b = 6.1765 Å, c = 10.3774 Å
α = 72.69°, β = 72.69°, γ = 60.00°
Fractional positions:
Cl: 0.4606 0.7097 0.7985
Cl: 0.0312 0.4606 0.7985
Cl: 0.7097 0.0312 0.7985
Cl: 0.8183 0.8183 0.5452
Cl: 0.2903 0.9688 0.2015
Cl: 0.9688 0.5394 0.2015
Cl: 0.1817 0.1817 0.4548
Cl: 0.5394 0.2903 0.2015
Tl: 0.5000 0.5000 0.5000
Ge: 0.0000 0.0000 0.0000
B: 0.2452 0.2452 0.2643
B: 0.7548 0.7548 0.7357

Values from the calculation:
Spin magnetization in μB per formula unit: 1.0
ΔE_f (raw) in eV per atom: -0.719
Volume in Å³/f.u.: 322.0
Raw total energy in eV/atom: -3.64

---

Entry from the Alexandria database: crystalline K8Rb3Tl2 at its relaxed geometry (PBE).

a = 6.6851 Å, b = 9.5894 Å, c = 13.2511 Å
α = 78.79°, β = 90.00°, γ = 90.00°
Fractional positions:
K: 0.5000 0.4659 0.7898
K: 0.0000 0.6633 0.5863
K: 0.0000 0.8021 0.2798
K: 0.5000 0.0571 0.3488
K: 0.5000 0.5341 0.2102
K: 0.0000 0.3367 0.4137
K: 0.5000 0.9429 0.6512
K: 0.0000 0.1979 0.7202
Rb: 0.0000 0.2741 0.0761
Rb: 0.0000 0.7259 0.9239
Rb: 0.5000 0.0000 0.0000
Tl: 0.5000 0.3407 0.5416
Tl: 0.5000 0.6593 0.4584

Values from the calculation:
Spin magnetization in μB per formula unit: 0.0
Volume in Å³/f.u.: 833.3
Raw total energy in eV/atom: -1.27
Energy relative to the elements in eV/atom: -0.008

---

Entry from the Alexandria database: crystalline La2Pr3Er3 at its relaxed geometry (PBE).

a = 3.6524 Å, b = 9.1728 Å, c = 17.0984 Å
α = 90.00°, β = 90.00°, γ = 101.48°
Fractional positions:
Pr: 0.6105 0.2209 0.7500
Pr: 0.3573 0.7147 0.4816
Pr: 0.6427 0.2853 0.5184
Pr: 0.3573 0.7147 0.0184
Pr: 0.3895 0.7791 0.2500
Pr: 0.6427 0.2853 0.9816
Er: 0.9916 0.9832 0.8995
Er: 0.5756 0.1512 0.2500
Er: 0.4244 0.8488 0.7500
Er: 0.0084 0.0168 0.1005
Er: 0.0084 0.0168 0.3995
Er: 0.9916 0.9832 0.6005
La: 0.7867 0.5734 0.8509
La: 0.2133 0.4266 0.1491
La: 0.2133 0.4266 0.3509
La: 0.7867 0.5734 0.6491

Values from the calculation:
Spin magnetization in μB per formula unit: 0.0
Excess energy over the best structure of this formula in the dataset in eV per atom: 0.092
Volume in Å³/f.u.: 280.7
Raw total energy in eV/atom: -4.62
Energy relative to the elements in eV/atom: 0.113